Below is crystalline ZnAuN3 at its relaxed geometry, with properties calculated at the PBE level.

```
5
Lattice="4.0879 0.0000 0.0000 0.0000 4.0879 0.0000 0.0000 0.0000 4.0879" Properties=species:S:1:pos:R:3 pbc="T T T"
Zn 0.0000 0.0000 0.0000
Au 2.0440 2.0440 2.0440
N 0.0000 2.0440 2.0440
N 2.0440 0.0000 2.0440
N 2.0440 2.0440 0.0000
```

Summary:
The calculation puts the density of states at the Fermi level at 2.2 states/eV/cell. The value obtained for the total magnetic moment is 3.12 μB per formula unit. The crystal system is cubic. Its uncorrected formation energy is 2.345 eV per atom. The calculation puts the calculated density at 7.4 g cm⁻³.